PBE SiAu2, relaxed; E_form (uncorrected) = 0.19 eV per atom; raw total energy = -22.80 eV for the cell shown; M_tot = 0.00 μB/f.u.; SG = I4_1/amd (141)
1.0
-1.554 1.554 11.229
1.554 -1.554 11.229
1.554 1.554 -11.229
Si Au
2 4
direct
0.375 0.625 0.750 Si
0.625 0.375 0.250 Si
0.053 0.803 0.250 Au
0.197 0.947 0.250 Au
0.803 0.053 0.750 Au
0.947 0.197 0.750 Au

***

PBE SiAu3, relaxed; E_form (uncorrected) = 0.12 eV per atom; raw total energy = -14.77 eV for the cell shown; M_tot = 0.00 μB/f.u.; SG = P4/mmm (123)
1.0
3.335 0.000 0.000
0.000 3.335 0.000
0.000 0.000 6.281
Si Au
1 3
direct
0.000 0.000 0.000 Si
0.000 0.000 0.500 Au
0.500 0.500 0.231 Au
0.500 0.500 0.769 Au

***

PBE SiAu3, relaxed; E_form (uncorrected) = 0.10 eV per atom; raw total energy = -14.87 eV for the cell shown; M_tot = 0.00 μB/f.u.; SG = P2/m (10)
1.0
3.896 0.000 0.000
0.000 3.475 0.000
-0.931 0.000 5.322
Si Au
1 3
direct
0.000 0.000 0.000 Si
0.000 0.000 0.500 Au
0.418 0.500 0.236 Au
0.582 0.500 0.764 Au

***

PBE Si3Au2, relaxed; E_form (uncorrected) = 0.18 eV per atom; raw total energy = -21.92 eV for the cell shown; M_tot = 0.00 μB/f.u.; SG = P-3m1 (164)
1.0
3.728 0.000 0.000
-1.864 3.229 0.000
0.000 0.000 7.534
Si Au
3 2
direct
0.000 0.000 0.000 Si
0.333 0.667 0.433 Si
0.667 0.333 0.567 Si
0.333 0.667 0.803 Au
0.667 0.333 0.197 Au

***

PBE Si3Au, relaxed; relative energy among the computed polymorphs = 80 kJ/mol of formula units; E_form (uncorrected) = 0.47 eV per atom; raw total energy = -17.68 eV for the cell shown; M_tot = 0.00 μB/f.u.; SG = Pm-3m (221)
1.0
4.027 0.000 0.000
0.000 4.027 0.000
0.000 0.000 4.027
Si Au
3 1
direct
0.000 0.000 0.500 Si
0.000 0.500 0.000 Si
0.500 0.000 0.000 Si
0.500 0.500 0.500 Au

***

PBE SiAu2, relaxed; E_form (uncorrected) = 0.23 eV per atom; raw total energy = -22.55 eV for the cell shown; M_tot = 0.00 μB/f.u.; SG = I4/mcm (140)
1.0
-3.361 3.361 2.319
3.361 -3.361 2.319
3.361 3.361 -2.319
Si Au
2 4
direct
0.250 0.250 0.000 Si
0.750 0.750 0.000 Si
0.153 0.653 0.806 Au
0.347 0.153 0.500 Au
0.653 0.847 0.500 Au
0.847 0.347 0.194 Au

***

PBE SiAu3, relaxed; E_form (uncorrected) = 0.06 eV per atom; raw total energy = -15.02 eV for the cell shown; M_tot = 0.00 μB/f.u.; SG = R-3m (166)
1.0
1.603 0.926 8.011
-1.603 0.926 8.011
0.000 -1.851 8.011
Si Au
1 3
direct
0.000 0.000 0.000 Si
0.259 0.259 0.259 Au
0.500 0.500 0.500 Au
0.741 0.741 0.741 Au

***

PBE SiAu3, relaxed; E_form (uncorrected) = 0.15 eV per atom; raw total energy = -14.66 eV for the cell shown; M_tot = 0.00 μB/f.u.; SG = I4/mmm (139)
1.0
-2.081 2.081 4.039
2.081 -2.081 4.039
2.081 2.081 -4.039
Si Au
1 3
direct
0.000 0.000 0.000 Si
0.250 0.750 0.500 Au
0.500 0.500 0.000 Au
0.750 0.250 0.500 Au

***

PBE Si3Au, relaxed; relative energy among the computed polymorphs = 4 kJ/mol of formula units; E_form (uncorrected) = 0.27 eV per atom; raw total energy = -18.47 eV for the cell shown; M_tot = 0.00 μB/f.u.; SG = P2/m (10)
1.0
2.620 0.000 0.000
0.000 4.581 0.000
-0.038 0.000 5.487
Si Au
3 1
direct
0.000 0.000 0.000 Si
0.001 0.500 0.236 Si
0.999 0.500 0.764 Si
0.000 0.000 0.500 Au

***

PBE Si3Au, relaxed; relative energy among the computed polymorphs = 54 kJ/mol of formula units; E_form (uncorrected) = 0.40 eV per atom; raw total energy = -17.95 eV for the cell shown; M_tot = 0.00 μB/f.u.; SG = Imm2 (44)
1.0
-1.430 5.373 2.168
1.430 -5.373 2.168
1.430 5.373 -2.168
Si Au
3 1
direct
0.000 0.000 0.000 Si
0.202 0.497 0.705 Si
0.792 0.497 0.295 Si
0.500 0.000 0.500 Au

***

PBE SiAu3, relaxed; E_form (uncorrected) = 0.07 eV per atom; raw total energy = -14.96 eV for the cell shown; M_tot = 0.00 μB/f.u.; SG = Imm2 (44)
1.0
-1.498 4.364 2.711
1.498 -4.364 2.711
1.498 4.364 -2.711
Si Au
1 3
direct
0.000 0.000 0.000 Si
0.029 0.320 0.709 Au
0.396 0.896 0.500 Au
0.610 0.320 0.291 Au

***

PBE Si23Au4, relaxed; E_form (uncorrected) = 0.23 eV per atom; raw total energy = -263.03 eV for the cell shown; M_tot = 0.00 μB/f.u.; SG = Pm-3n (223)
1.0
10.154 0.000 0.000
0.000 10.154 0.000
0.000 0.000 10.154
Si Au
46 8
direct
0.000 0.116 0.311 Si
0.000 0.116 0.689 Si
0.000 0.250 0.500 Si
0.000 0.750 0.500 Si
0.000 0.884 0.311 Si
0.000 0.884 0.689 Si
0.116 0.311 0.000 Si
0.116 0.689 0.000 Si
0.182 0.182 0.182 Si
0.182 0.182 0.818 Si
0.182 0.818 0.182 Si
0.182 0.818 0.818 Si
0.189 0.384 0.500 Si
0.189 0.616 0.500 Si
0.250 0.500 0.000 Si
0.311 0.000 0.116 Si
0.311 0.000 0.884 Si
0.318 0.318 0.318 Si
0.318 0.318 0.682 Si
0.318 0.682 0.318 Si
0.318 0.682 0.682 Si
0.384 0.500 0.189 Si
0.384 0.500 0.811 Si
0.500 0.000 0.250 Si
0.500 0.000 0.750 Si
0.500 0.189 0.384 Si
0.500 0.189 0.616 Si
0.500 0.811 0.384 Si
0.500 0.811 0.616 Si
0.616 0.500 0.189 Si
0.616 0.500 0.811 Si
0.682 0.318 0.318 Si
0.682 0.318 0.682 Si
0.682 0.682 0.318 Si
0.682 0.682 0.682 Si
0.689 0.000 0.116 Si
0.689 0.000 0.884 Si
0.750 0.500 0.000 Si
0.811 0.384 0.500 Si
0.811 0.616 0.500 Si
0.818 0.182 0.182 Si
0.818 0.182 0.818 Si
0.818 0.818 0.182 Si
0.818 0.818 0.818 Si
0.884 0.311 0.000 Si
0.884 0.689 0.000 Si
0.000 0.000 0.000 Au
0.000 0.500 0.250 Au
0.000 0.500 0.750 Au
0.250 0.000 0.500 Au
0.500 0.250 0.000 Au
0.500 0.500 0.500 Au
0.500 0.750 0.000 Au
0.750 0.000 0.500 Au